# 1
Crystalline BaU2S5 at its relaxed geometry, computed with PBE.

Lattice parameters (Å, degrees): 5.399 12.598 13.232 90.00 90.00 90.00
Space group Cmcm (No. 63)
One atom of each set of equivalent atoms:
Ba: 0.000 0.032 0.250 [4 per cell]
U: 0.000 0.351 0.055 [8 per cell]
S: 0.000 0.161 0.543 [8 per cell]
S: 0.000 0.293 0.250 [4 per cell]
S: 0.000 0.452 0.621 [8 per cell]

* formation energy from raw total energies: -1.557 eV/atom
* electronic total energy: -7.199 eV/atom

=====

# 2
Crystalline LaHoCd2In2 at its relaxed geometry, computed with PBE.

Lattice parameters (Å, degrees): 4.9391 4.9391 7.5559 90.00 90.00 120.00
Space group P-3m1 (No. 164)
One atom of each set of equivalent atoms:
La: 0.0000 0.0000 0.0000 [1 per cell]
Ho: 0.0000 0.0000 0.5000 [1 per cell]
Cd: 0.3333 0.6667 0.2866 [2 per cell]
In: 0.3333 0.6667 0.7400 [2 per cell]

* electronic total energy: -3.234 eV/atom

=====

# 3
Crystalline Al2Si4Ni at its relaxed geometry, computed with PBE.

Lattice parameters (Å, degrees): 3.8083 3.8083 10.3263 90.00 90.00 120.00
Space group P-3m1 (No. 164)
One atom of each set of equivalent atoms:
Al: 0.3333 0.6667 0.1980 [2 per cell]
Si: 0.3333 0.6667 0.4389 [2 per cell]
Si: 0.3333 0.6667 0.9317 [2 per cell]
Ni: 0.0000 0.0000 0.5000 [1 per cell]

* formation energy from raw total energies: 0.142 eV/atom
* electronic total energy: -4.852 eV/atom
* energy relative to the lowest polymorph listed for this composition: 12 meV/atom